# Tb2SmHgC, relaxed, DFT PBE-GGA
# raw total energy	-5.02	eV per atom
# total moment	0.0	μB/f.u.
# energy of formation	-1.6	eV per formula unit
data_Tb2SmHgC
_chemical_formula_sum 'Tb2 Sm1 Hg1 C1'
_cell_length_a 4.9162
_cell_length_b 4.9162
_cell_length_c 5.0617
_cell_angle_alpha 90.00
_cell_angle_beta 90.00
_cell_angle_gamma 90.00
_symmetry_space_group_name_H-M 'P 1'
_symmetry_Int_Tables_number 1
_symmetry_space_group_name_Hall 'P 1'
loop_
_atom_site_label
_atom_site_type_symbol
_atom_site_fract_x
_atom_site_fract_y
_atom_site_fract_z
_atom_site_occupancy
Tb1 Tb 0.0000 0.5000 0.0000 1
Tb2 Tb 0.5000 0.0000 0.0000 1
Sm1 Sm 0.0000 0.0000 0.5000 1
Hg1 Hg 0.5000 0.5000 0.5000 1
C1 C 0.0000 0.0000 0.0000 1